VASP calculation (PBE) on crystalline BH2Au at its relaxed geometry.

Its energy relative to the lowest polymorph listed for this composition is 666 meV/atom.

It has space group Fm-3m (No. 225), with a = 5.1450 Å, b = 5.1450 Å, c = 5.1450 Å, α = 90.00°, β = 90.00° and γ = 90.00°. Symmetry generates all atoms from B at (0.0000, 0.0000, 0.0000), H at (0.2500, 0.2500, 0.2500) and Au at (0.0000, 0.0000, 0.5000).